1.
This record from the Alexandria database describes crystalline Sr2Al12ZnPt3 at its relaxed geometry. The functional is GGA-PBE.

Properties
SG: No. 166
ΔE_f, eV/atom: -0.18

Unit cell a=8.0332 b=8.0332 c=8.0332 alpha=69.85 beta=69.85 gamma=69.85
Fractional coordinates of all 18 atoms:
Sr 0.1056 0.1056 0.1056
Sr 0.8944 0.8944 0.8944
Al 0.1514 0.6285 0.6285
Al 0.2484 0.2484 0.6217
Al 0.2484 0.6217 0.2484
Al 0.3715 0.3715 0.8486
Al 0.3715 0.8486 0.3715
Al 0.3783 0.7516 0.7516
Al 0.6217 0.2484 0.2484
Al 0.6285 0.1514 0.6285
Al 0.6285 0.6285 0.1514
Al 0.7516 0.3783 0.7516
Al 0.7516 0.7516 0.3783
Al 0.8486 0.3715 0.3715
Zn 0.5000 0.5000 0.5000
Pt 0.0000 0.5000 0.5000
Pt 0.5000 0.0000 0.5000
Pt 0.5000 0.5000 0.0000



2.
This record from the Alexandria database describes crystalline Sr2Al2ZnPt5 at its relaxed geometry. The functional is GGA-PBE.

Properties
SG: No. 127
ΔE_f, eV/atom: -0.76

Unit cell a=11.0830 b=11.0830 c=2.9945 alpha=90.00 beta=90.00 gamma=90.00
Fractional coordinates of all 20 atoms:
Sr 0.1738 0.3262 0.0000
Sr 0.3262 0.8262 0.0000
Sr 0.6738 0.1738 0.0000
Sr 0.8262 0.6738 0.0000
Al 0.1323 0.6323 0.0000
Al 0.3677 0.1323 0.0000
Al 0.6323 0.8677 0.0000
Al 0.8677 0.3677 0.0000
Zn 0.0000 0.0000 0.0000
Zn 0.5000 0.5000 0.0000
Pt 0.0000 0.5000 0.5000
Pt 0.0613 0.8066 0.5000
Pt 0.1934 0.0613 0.5000
Pt 0.3066 0.5613 0.5000
Pt 0.4387 0.3066 0.5000
Pt 0.5000 0.0000 0.5000
Pt 0.5613 0.6934 0.5000
Pt 0.6934 0.4387 0.5000
Pt 0.8066 0.9387 0.5000
Pt 0.9387 0.1934 0.5000



3.
This record from the Alexandria database describes crystalline Sr2AlZn4Pt3 at its relaxed geometry. The functional is GGA-PBE.

Properties
SG: No. 115
ΔE_f, eV/atom: -0.61

Unit cell a=4.1798 b=4.1798 c=11.4995 alpha=90.00 beta=90.00 gamma=90.00
Fractional coordinates of all 10 atoms:
Sr 0.0000 0.5000 0.2431
Sr 0.5000 0.0000 0.7569
Al 0.0000 0.0000 0.5000
Zn 0.0000 0.0000 0.0000
Zn 0.0000 0.5000 0.6395
Zn 0.5000 0.0000 0.3605
Zn 0.5000 0.5000 0.0000
Pt 0.0000 0.5000 0.8647
Pt 0.5000 0.0000 0.1353
Pt 0.5000 0.5000 0.5000



4.
This record from the Alexandria database describes crystalline TaAl2Pt2 at its relaxed geometry. The functional is GGA-PBE.

Properties
SG: No. 127
ΔE_f, eV/atom: -0.67

Unit cell a=7.4656 b=7.4656 c=2.7837 alpha=90.00 beta=90.00 gamma=90.00
Fractional coordinates of all 10 atoms:
Ta 0.0000 0.0000 0.0000
Ta 0.5000 0.5000 0.0000
Al 0.1350 0.3650 0.0000
Al 0.3650 0.8650 0.0000
Al 0.6350 0.1350 0.0000
Al 0.8650 0.6350 0.0000
Pt 0.1628 0.6628 0.5000
Pt 0.3372 0.1628 0.5000
Pt 0.6628 0.8372 0.5000
Pt 0.8372 0.3372 0.5000



5.
This record from the Alexandria database describes crystalline TaAlPt6 at its relaxed geometry. The functional is GGA-PBE.

Properties
SG: No. 123
ΔE_f, eV/atom: -0.74

Unit cell a=3.9708 b=3.9708 c=7.8961 alpha=90.00 beta=90.00 gamma=90.00
Fractional coordinates of all 8 atoms:
Ta 0.0000 0.0000 0.0000
Al 0.0000 0.0000 0.5000
Pt 0.0000 0.5000 0.2481
Pt 0.0000 0.5000 0.7519
Pt 0.5000 0.0000 0.2481
Pt 0.5000 0.0000 0.7519
Pt 0.5000 0.5000 0.0000
Pt 0.5000 0.5000 0.5000



6.
This record from the Alexandria database describes crystalline TaAlPt at its relaxed geometry. The functional is GGA-PBE.

Properties
SG: No. 187
ΔE_f, eV/atom: -0.60

Unit cell a=4.3954 b=4.3954 c=2.8747 alpha=90.00 beta=90.00 gamma=120.00
Fractional coordinates of all 3 atoms:
Ta 0.0000 0.0000 0.0000
Al 0.3333 0.6667 0.5000
Pt 0.6667 0.3333 0.5000